CaZr2P | the Alexandria database | GGA-PBEsol | relaxed; total magnetic moment = 0.00 μB/f.u.; DFT formation energy = -51 kJ per mole of atoms; space-group type = P4mm; raw total energy = -7.051 eV per atom
1.0
-0.824 1.717 2.864
-2.470 -2.299 0.668
5.003 -4.220 3.970
Ca P Zr
1 1 2
Direct
0.000 0.000 0.544
0.500 0.500 0.811
0.000 0.000 0.951
0.500 0.500 0.195